# 1
DFT (PBE-GGA) results for a geometry-optimized Ta3AgF structure.

abc: 4.9485 4.9485 4.9485
angles: 90.00 90.00 90.00
Element x y z (fractional)
1 Ta 0.0000 0.0000 0.5000
2 Ta 0.0000 0.5000 0.0000
3 Ta 0.5000 0.0000 0.0000
4 Ag 0.0000 0.0000 0.0000
5 F 0.5000 0.5000 0.5000

Crystal system = cubic
Raw formation energy = 48.07 kcal/mol of atoms

=====

# 2
DFT (PBE-GGA) results for a geometry-optimized Rb2HgBr structure.

abc: 9.7359 9.7359 9.7359
angles: 28.82 28.82 28.82
Element x y z (fractional)
1 Rb 0.2412 0.2412 0.2412
2 Rb 0.7588 0.7588 0.7588
3 Hg 0.0000 0.0000 0.0000
4 Br 0.5000 0.5000 0.5000

Crystal system = trigonal
Raw formation energy = -20.35 kcal/mol of atoms

=====

# 3
DFT (PBE-GGA) results for a geometry-optimized CrSeBrN2 structure.

abc: 3.7268 3.7268 5.4406
angles: 90.00 90.00 90.00
Element x y z (fractional)
1 Cr 0.0000 0.0000 0.0000
2 Se 0.0000 0.0000 0.5000
3 Br 0.5000 0.5000 0.5000
4 N 0.0000 0.5000 0.0000
5 N 0.5000 0.0000 0.0000

Crystal system = tetragonal
Raw formation energy = 15.24 kcal/mol of atoms

=====

# 4
DFT (PBE-GGA) results for a geometry-optimized Rh4WAu structure.

abc: 5.0835 5.0835 5.0835
angles: 60.00 60.00 60.00
Element x y z (fractional)
1 Rh 0.1252 0.1252 0.1252
2 Rh 0.1252 0.1252 0.6245
3 Rh 0.1252 0.6245 0.1252
4 Rh 0.6245 0.1252 0.1252
5 W 0.7500 0.7500 0.7500
6 Au 0.5000 0.5000 0.5000

Crystal system = cubic
Energy of formation from the pure elements = 0.25 eV per atom

=====

# 5
DFT (PBE-GGA) results for a geometry-optimized Cu4Cl2OF structure.

abc: 7.2195 5.9426 6.1478
angles: 90.00 90.00 90.00
Element x y z (fractional)
1 Cu 0.0000 0.0558 0.0000
2 Cu 0.0000 0.9432 0.4902
3 Cu 0.1849 0.3190 0.4573
4 Cu 0.3151 0.6810 0.9573
5 Cu 0.5000 0.0568 0.9902
6 Cu 0.5000 0.9442 0.5000
7 Cu 0.6849 0.6810 0.9573
8 Cu 0.8151 0.3190 0.4573
9 Cl 0.2470 0.6743 0.3131
10 Cl 0.2530 0.3257 0.8131
11 Cl 0.7470 0.3257 0.8131
12 Cl 0.7530 0.6743 0.3131
13 O 0.0000 0.1695 0.2797
14 O 0.5000 0.8305 0.7797
15 F 0.0000 0.8217 0.7806
16 F 0.5000 0.1783 0.2806

Crystal system = orthorhombic
Raw formation energy = -12.89 kcal/mol of atoms

=====

# 6
DFT (PBE-GGA) results for a geometry-optimized AcNdSmTm structure.

abc: 5.8919 5.8919 5.8919
angles: 60.00 60.00 60.00
Element x y z (fractional)
1 Ac 0.0000 0.0000 0.0000
2 Nd 0.2500 0.2500 0.2500
3 Sm 0.7500 0.7500 0.7500
4 Tm 0.5000 0.5000 0.5000

Crystal system = cubic
Energy of formation from the pure elements = 0.17 eV per atom